# ZnFe4O8 (PBE+U, optimized geometry)
# density of states at the Fermi level	3.322	states/eV/f.u.
# M_tot	27.99	μB per cell
# E	-5.94	eV/atom
data_ZnFe4O8
_cell_length_a 14.165
_cell_length_b 2.991
_cell_length_c 9.217
_cell_angle_alpha 90.00
_cell_angle_beta 129.66
_cell_angle_gamma 90.00
_space_group_name_H-M_alt 'C 1 m 1'
_space_group_IT_number 8
_space_group_name_Hall 'C -2y'
loop_
_atom_site_label
_atom_site_fract_x
_atom_site_fract_y
_atom_site_fract_z
Zn1 0.000 0.000 0.000
Fe1 0.006 0.500 0.354
Fe2 0.015 0.000 0.700
Fe3 0.295 0.000 0.623
Fe4 0.296 0.500 0.984
O1 0.000 0.500 0.841
O2 0.030 0.500 0.584
O3 0.118 0.000 0.434
O4 0.190 0.000 0.911
O5 0.306 0.500 0.779
O6 0.339 0.500 0.534
O7 0.392 0.500 0.257
O8 0.460 0.000 0.105